[1]
First-principles (PBE) data for a geometry-optimized Er3TmCd6 structure, as listed in the Alexandria database.

```
data_Er3TmCd6
_chemical_formula_sum 'Er6 Tm2 Cd12'
_space_group_name_H-M_alt 'P 1'
_space_group_IT_number 1
_space_group_name_Hall 'P 1'
_cell_length_a 5.120
_cell_length_b 9.098
_cell_length_c 10.950
_cell_angle_alpha 105.54
_cell_angle_beta 90.00
_cell_angle_gamma 90.00
loop_
_atom_site_label
_atom_site_type_symbol
_atom_site_fract_x
_atom_site_fract_y
_atom_site_fract_z
Er1 Er 0.750 0.649 0.207
Er2 Er 0.250 0.759 0.002
Er3 Er 0.750 0.468 0.606
Er4 Er 0.750 0.241 0.998
Er5 Er 0.250 0.351 0.793
Er6 Er 0.250 0.532 0.394
Cd1 Cd 0.250 0.450 0.095
Cd2 Cd 0.250 0.660 0.706
Cd3 Cd 0.750 0.149 0.694
Cd4 Cd 0.750 0.949 0.103
Cd5 Cd 0.750 0.760 0.504
Cd6 Cd 0.250 0.240 0.496
Cd7 Cd 0.250 0.144 0.192
Cd8 Cd 0.250 0.051 0.897
Cd9 Cd 0.750 0.856 0.808
Cd10 Cd 0.750 0.340 0.294
Cd11 Cd 0.250 0.851 0.306
Cd12 Cd 0.750 0.550 0.905
Tm1 Tm 0.750 0.054 0.395
Tm2 Tm 0.250 0.946 0.605
```

Values from the calculation:
Mass density (g/cm3): 9.1
SG: No. 11
ΔH_f (0 K) (meV/atom): -277
E_tot (eV/f.u.): -26.42

---

[2]
First-principles (PBE) data for a geometry-optimized Er6Tm2Cd structure, as listed in the Alexandria database.

```
data_Er6Tm2Cd
_chemical_formula_sum 'Er12 Tm4 Cd2'
_space_group_name_H-M_alt 'P 1'
_space_group_IT_number 1
_space_group_name_Hall 'P 1'
_cell_length_a 4.914
_cell_length_b 10.359
_cell_length_c 10.360
_cell_angle_alpha 90.00
_cell_angle_beta 89.98
_cell_angle_gamma 90.00
loop_
_atom_site_label
_atom_site_type_symbol
_atom_site_fract_x
_atom_site_fract_y
_atom_site_fract_z
Tm1 Tm 0.000 0.665 0.165
Tm2 Tm 0.000 0.335 0.835
Tm3 Tm 0.500 0.835 0.665
Tm4 Tm 0.500 0.165 0.335
Er1 Er 0.500 0.836 0.336
Er2 Er 0.500 0.164 0.664
Er3 Er 0.000 0.664 0.836
Er4 Er 0.500 0.500 0.333
Er5 Er 0.000 0.333 0.500
Er6 Er 0.500 0.167 0.000
Er7 Er 0.000 0.000 0.833
Er8 Er 0.000 0.336 0.164
Er9 Er 0.000 0.000 0.167
Er10 Er 0.000 0.667 0.500
Er11 Er 0.500 0.500 0.667
Er12 Er 0.500 0.833 0.000
Cd1 Cd 0.000 0.000 0.500
Cd2 Cd 0.500 0.500 0.000
```

Values from the calculation:
Mass density (g/cm3): 9.2
SG: No. 136
ΔH_f (0 K) (meV/atom): -11
E_tot (eV/f.u.): -37.33

---

[3]
First-principles (PBE) data for a geometry-optimized ErTmCd6 structure, as listed in the Alexandria database.

```
data_ErTmCd6
_chemical_formula_sum 'Er1 Tm1 Cd6'
_space_group_name_H-M_alt 'P 1'
_space_group_IT_number 1
_space_group_name_Hall 'P 1'
_cell_length_a 4.854
_cell_length_b 6.460
_cell_length_c 6.460
_cell_angle_alpha 112.61
_cell_angle_beta 90.00
_cell_angle_gamma 90.00
loop_
_atom_site_label
_atom_site_type_symbol
_atom_site_fract_x
_atom_site_fract_y
_atom_site_fract_z
Er1 Er 0.000 0.118 0.882
Tm1 Tm 0.500 0.382 0.618
Cd1 Cd 0.500 0.438 0.129
Cd2 Cd 0.000 0.062 0.371
Cd3 Cd 0.500 0.871 0.562
Cd4 Cd 0.000 0.573 0.427
Cd5 Cd 0.000 0.629 0.938
Cd6 Cd 0.500 0.926 0.074
```

Values from the calculation:
Mass density (g/cm3): 9.0
SG: No. 38
ΔH_f (0 K) (meV/atom): -258
E_tot (eV/f.u.): -16.59

---

[4]
First-principles (PBE) data for a geometry-optimized Er5TmCd3 structure, as listed in the Alexandria database.

```
data_Er5TmCd3
_chemical_formula_sum 'Er10 Tm2 Cd6'
_space_group_name_H-M_alt 'P 1'
_space_group_IT_number 1
_space_group_name_Hall 'P 1'
_cell_length_a 6.851
_cell_length_b 9.085
_cell_length_c 9.085
_cell_angle_alpha 120.00
_cell_angle_beta 90.00
_cell_angle_gamma 90.00
loop_
_atom_site_label
_atom_site_type_symbol
_atom_site_fract_x
_atom_site_fract_y
_atom_site_fract_z
Er1 Er 0.500 0.333 0.667
Er2 Er 0.750 0.667 0.667
Er3 Er 0.750 0.000 0.333
Er4 Er 0.250 0.333 0.333
Er5 Er 0.750 0.333 0.000
Er6 Er 0.500 0.667 0.333
Er7 Er 0.000 0.333 0.667
Er8 Er 0.250 0.667 0.000
Er9 Er 0.000 0.667 0.333
Er10 Er 0.250 0.000 0.667
Cd1 Cd 0.750 0.667 0.000
Cd2 Cd 0.750 0.333 0.333
Cd3 Cd 0.250 0.333 0.000
Cd4 Cd 0.750 0.000 0.667
Cd5 Cd 0.250 0.000 0.333
Cd6 Cd 0.250 0.667 0.667
Tm1 Tm 0.000 0.000 0.000
Tm2 Tm 0.500 0.000 0.000
```

Values from the calculation:
Mass density (g/cm3): 9.1
SG: No. 193
ΔH_f (0 K) (meV/atom): -191
E_tot (eV/f.u.): -31.75

---

[5]
First-principles (PBE) data for a geometry-optimized Er5Tm3Cd2 structure, as listed in the Alexandria database.

```
data_Er5Tm3Cd2
_chemical_formula_sum 'Er10 Tm6 Cd4'
_space_group_name_H-M_alt 'P 1'
_space_group_IT_number 1
_space_group_name_Hall 'P 1'
_cell_length_a 6.551
_cell_length_b 10.241
_cell_length_c 10.241
_cell_angle_alpha 88.31
_cell_angle_beta 71.35
_cell_angle_gamma 71.35
loop_
_atom_site_label
_atom_site_type_symbol
_atom_site_fract_x
_atom_site_fract_y
_atom_site_fract_z
Er1 Er 0.099 0.574 0.228
Er2 Er 0.489 0.261 0.261
Er3 Er 0.901 0.426 0.772
Er4 Er 0.511 0.739 0.739
Er5 Er 0.599 0.228 0.574
Er6 Er 0.250 0.500 0.500
Er7 Er 0.011 0.739 0.739
Er8 Er 0.750 0.500 0.500
Er9 Er 0.989 0.261 0.261
Er10 Er 0.401 0.772 0.426
Tm1 Tm 0.361 0.352 0.925
Tm2 Tm 0.861 0.925 0.352
Tm3 Tm 0.250 0.000 0.000
Tm4 Tm 0.750 0.000 0.000
Tm5 Tm 0.639 0.648 0.075
Tm6 Tm 0.139 0.075 0.648
Cd1 Cd 0.631 0.001 0.736
Cd2 Cd 0.369 0.999 0.264
Cd3 Cd 0.869 0.264 0.999
Cd4 Cd 0.131 0.736 0.001
```

Values from the calculation:
Mass density (g/cm3): 8.5
SG: No. 72
ΔH_f (0 K) (meV/atom): 200
E_tot (eV/f.u.): -36.05

---

[6]
First-principles (PBE) data for a geometry-optimized ErTm2Cd3 structure, as listed in the Alexandria database.

```
data_ErTm2Cd3
_chemical_formula_sum 'Er1 Tm2 Cd3'
_space_group_name_H-M_alt 'P 1'
_space_group_IT_number 1
_space_group_name_Hall 'P 1'
_cell_length_a 5.227
_cell_length_b 5.227
_cell_length_c 6.425
_cell_angle_alpha 90.00
_cell_angle_beta 90.00
_cell_angle_gamma 120.00
loop_
_atom_site_label
_atom_site_type_symbol
_atom_site_fract_x
_atom_site_fract_y
_atom_site_fract_z
Cd1 Cd 0.000 0.000 0.500
Cd2 Cd 0.333 0.667 0.166
Cd3 Cd 0.667 0.333 0.834
Tm1 Tm 0.667 0.333 0.335
Tm2 Tm 0.333 0.667 0.665
Er1 Er 0.000 0.000 0.000
```

Values from the calculation:
Mass density (g/cm3): 9.2
SG: No. 164
ΔH_f (0 K) (meV/atom): -313
E_tot (eV/f.u.): -18.13

---

[7]
First-principles (PBE) data for a geometry-optimized ErTm5Cd6 structure, as listed in the Alexandria database.

```
data_ErTm5Cd6
_chemical_formula_sum 'Er1 Tm5 Cd6'
_space_group_name_H-M_alt 'P 1'
_space_group_IT_number 1
_space_group_name_Hall 'P 1'
_cell_length_a 5.219
_cell_length_b 7.402
_cell_length_c 8.271
_cell_angle_alpha 90.00
_cell_angle_beta 71.78
_cell_angle_gamma 90.00
loop_
_atom_site_label
_atom_site_type_symbol
_atom_site_fract_x
_atom_site_fract_y
_atom_site_fract_z
Tm1 Tm 0.666 0.500 0.667
Tm2 Tm 0.333 0.000 0.334
Tm3 Tm 0.667 0.000 0.666
Tm4 Tm 0.000 0.500 0.000
Tm5 Tm 0.334 0.500 0.333
Er1 Er 0.000 0.000 0.000
Cd1 Cd 0.500 0.750 0.000
Cd2 Cd 0.167 0.749 0.666
Cd3 Cd 0.500 0.250 0.000
Cd4 Cd 0.833 0.251 0.334
Cd5 Cd 0.833 0.749 0.334
Cd6 Cd 0.167 0.251 0.666
```

Values from the calculation:
Mass density (g/cm3): 9.2
SG: No. 10
ΔH_f (0 K) (meV/atom): -314
E_tot (eV/f.u.): -36.17

---

[8]
First-principles (PBE) data for a geometry-optimized Er5Tm4Cd structure, as listed in the Alexandria database.

```
data_Er5Tm4Cd
_chemical_formula_sum 'Er5 Tm4 Cd1'
_space_group_name_H-M_alt 'P 1'
_space_group_IT_number 1
_space_group_name_Hall 'P 1'
_cell_length_a 6.109
_cell_length_b 7.756
_cell_length_c 7.756
_cell_angle_alpha 81.08
_cell_angle_beta 66.81
_cell_angle_gamma 66.81
loop_
_atom_site_label
_atom_site_type_symbol
_atom_site_fract_x
_atom_site_fract_y
_atom_site_fract_z
Tm1 Tm 0.805 0.697 0.612
Tm2 Tm 0.114 0.303 0.388
Tm3 Tm 0.417 0.388 0.697
Tm4 Tm 0.502 0.612 0.303
Er1 Er 0.641 0.000 0.000
Er2 Er 0.819 0.369 0.919
Er3 Er 0.107 0.631 0.081
Er4 Er 0.188 0.919 0.631
Er5 Er 0.738 0.081 0.369
Cd1 Cd 0.180 0.000 0.000
```

Values from the calculation:
Energy above the most stable polymorph in this dataset (kcal/mol of atoms): 6.24
Mass density (g/cm3): 8.7
SG: No. 79
ΔH_f (0 K) (meV/atom): 230
E_tot (eV/f.u.): -39.31

---

[9]
First-principles (PBE) data for a geometry-optimized ErTm4Cd3 structure, as listed in the Alexandria database.

```
data_ErTm4Cd3
_chemical_formula_sum 'Er1 Tm4 Cd3'
_space_group_name_H-M_alt 'P 1'
_space_group_IT_number 1
_space_group_name_Hall 'P 1'
_cell_length_a 5.276
_cell_length_b 5.276
_cell_length_c 9.366
_cell_angle_alpha 73.64
_cell_angle_beta 73.64
_cell_angle_gamma 60.00
loop_
_atom_site_label
_atom_site_type_symbol
_atom_site_fract_x
_atom_site_fract_y
_atom_site_fract_z
Cd1 Cd 0.740 0.740 0.779
Cd2 Cd 0.260 0.260 0.221
Cd3 Cd 0.500 0.500 0.500
Tm1 Tm 0.871 0.871 0.388
Tm2 Tm 0.129 0.129 0.612
Tm3 Tm 0.614 0.614 0.157
Tm4 Tm 0.386 0.386 0.843
Er1 Er 0.000 0.000 0.000
```

Values from the calculation:
Mass density (g/cm3): 9.2
SG: No. 166
ΔH_f (0 K) (meV/atom): -163
E_tot (eV/f.u.): -26.50

---

[10]
First-principles (PBE) data for a geometry-optimized ErTmCd4 structure, as listed in the Alexandria database.

```
data_ErTmCd4
_chemical_formula_sum 'Er1 Tm1 Cd4'
_space_group_name_H-M_alt 'P 1'
_space_group_IT_number 1
_space_group_name_Hall 'P 1'
_cell_length_a 3.383
_cell_length_b 6.002
_cell_length_c 8.595
_cell_angle_alpha 90.00
_cell_angle_beta 90.00
_cell_angle_gamma 55.61
loop_
_atom_site_label
_atom_site_type_symbol
_atom_site_fract_x
_atom_site_fract_y
_atom_site_fract_z
Cd1 Cd 0.001 0.497 0.332
Cd2 Cd 0.001 0.497 0.664
Cd3 Cd 0.502 0.997 0.165
Cd4 Cd 0.502 0.997 0.831
Tm1 Tm 0.001 0.997 0.498
Er1 Er 0.501 0.497 0.998
```

Values from the calculation:
Energy above the most stable polymorph in this dataset (kcal/mol of atoms): 0.00
Mass density (g/cm3): 9.1
SG: No. 10
ΔH_f (0 K) (meV/atom): -293
E_tot (eV/f.u.): -14.45

---

[11]
First-principles (PBE) data for a geometry-optimized Er4Tm5Cd2 structure, as listed in the Alexandria database.

```
data_Er4Tm5Cd2
_chemical_formula_sum 'Er4 Tm5 Cd2'
_space_group_name_H-M_alt 'P 1'
_space_group_IT_number 1
_space_group_name_Hall 'P 1'
_cell_length_a 3.479
_cell_length_b 8.660
_cell_length_c 10.908
_cell_angle_alpha 91.16
_cell_angle_beta 99.18
_cell_angle_gamma 90.00
loop_
_atom_site_label
_atom_site_type_symbol
_atom_site_fract_x
_atom_site_fract_y
_atom_site_fract_z
Tm1 Tm 0.500 0.000 0.000
Tm2 Tm 0.851 0.064 0.702
Tm3 Tm 0.102 0.293 0.205
Tm4 Tm 0.898 0.707 0.795
Tm5 Tm 0.149 0.936 0.298
Er1 Er 0.681 0.598 0.363
Er2 Er 0.046 0.659 0.093
Er3 Er 0.954 0.341 0.907
Er4 Er 0.319 0.402 0.637
Cd1 Cd 0.281 0.789 0.563
Cd2 Cd 0.719 0.211 0.437
```

Values from the calculation:
Mass density (g/cm3): 8.9
SG: No. 12
ΔH_f (0 K) (meV/atom): 23
E_tot (eV/f.u.): -42.19

---

[12]
First-principles (PBE) data for a geometry-optimized ErTmCd5 structure, as listed in the Alexandria database.

```
data_ErTmCd5
_chemical_formula_sum 'Er1 Tm1 Cd5'
_space_group_name_H-M_alt 'P 1'
_space_group_IT_number 1
_space_group_name_Hall 'P 1'
_cell_length_a 5.115
_cell_length_b 5.115
_cell_length_c 6.879
_cell_angle_alpha 90.00
_cell_angle_beta 90.00
_cell_angle_gamma 84.87
loop_
_atom_site_label
_atom_site_type_symbol
_atom_site_fract_x
_atom_site_fract_y
_atom_site_fract_z
Cd1 Cd 0.000 0.500 0.233
Cd2 Cd 0.500 0.000 0.767
Cd3 Cd 0.500 0.500 0.500
Cd4 Cd 0.000 0.500 0.767
Cd5 Cd 0.500 0.000 0.233
Tm1 Tm 0.500 0.500 0.000
Er1 Er 0.000 0.000 0.500
```

Values from the calculation:
Mass density (g/cm3): 8.3
SG: No. 65
ΔH_f (0 K) (meV/atom): -68
E_tot (eV/f.u.): -14.09